--- P ---
# AlTlOF2

An optimized crystal structure of AlTlOF2 (PBE-GGA, Alexandria via LeMat-Bulk).

Structure (POSCAR):
```
AlTlOF2
1.0
4.254 0.000 0.000
0.000 4.254 0.000
0.000 0.000 3.565
Al Tl O F
1 1 1 2
Cartesian
0.000 0.000 0.000
2.127 2.127 1.782
0.000 0.000 1.782
0.000 2.127 0.000
2.127 0.000 0.000
```

Calculated values
**SG**: No. 123
**Density of states at the Fermi level**: 0.0 states/eV/f.u.

---

--- Q ---
# AlTlOF2

An optimized crystal structure of AlTlOF2 (PBE-GGA, Alexandria via LeMat-Bulk).

Structure (POSCAR):
```
AlTlOF2
1.0
4.623 0.000 0.000
0.000 4.623 0.000
0.000 0.000 4.116
Al Tl O F
1 1 1 2
Cartesian
0.000 0.000 0.000
2.312 2.312 2.058
2.312 2.312 0.000
0.000 2.312 2.058
2.312 0.000 2.058
```

Calculated values
**SG**: No. 123
**Density of states at the Fermi level**: 0.1 states/eV/f.u.

---

Relative energy of each structure, in meV/atom: P 0; Q 1383.